The following is a GGA-PBE calculation of crystalline MgSnAu2 at its relaxed geometry, from the Alexandria database.

formation energy = -0.236 eV/atom
size of the total moment = 0.000 μB per formula unit

Cell: 4.312 4.312 6.067 Å, 69.19 69.19 60.00°
Sites, in units of the cell vectors:
Mg 0.673 0.673 0.980
Au 0.073 0.073 0.780
Sn 0.491 0.491 0.527
Au 0.262 0.262 0.214